A plane-wave DFT calculation with PBE with a Hubbard U was carried out for an optimized crystal structure of Tl2WF.

extended XYZ file:
```
4
Lattice="0.000 3.614 3.614 3.614 0.000 3.614 3.614 3.614 0.000" Properties=species:S:1:pos:R:3 pbc="T T T"
Tl 5.421 5.421 5.421
Tl 1.807 1.807 1.807
W 3.614 3.614 3.614
F 0.000 0.000 0.000
```

Output
* energy above the most stable polymorph in this dataset: 0.039 eV/atom
* total energy: -12.98 eV per cell
* density of states at the Fermi level: 0.640 states/eV per atom
* space-group type: Fm-3m, No. 225